Compound: CsAgMoS4
Source: the Alexandria database
Functional: PBE
Structure: relaxed

Cell: 5.8666 7.6822 10.1962 Å, 90.00 106.59 90.00°
Closest atoms and distances in Å follow each position.
Space group P2_1/m (No. 11)
Asymmetric unit:
Cs: 0.2082 0.2500 0.3567  9 S 3.72-3.89
Ag: 0.3570 0.7500 0.2076  4 S 2.51-2.57
Mo: 0.1405 0.2500 0.7854  4 S 2.20-2.25
S: 0.0334 0.2500 0.9758  1 Mo 2.20
S: 0.1688 0.7500 0.4059  1 Mo 2.25
S: 0.3467 0.0075 0.7852  1 Mo 2.22

The formation energy from raw total energies comes out at -645 meV per atom. For the volume, the calculation gives 31.46 Å³/atom.